Entry 1:
Here is a relaxed UCo2NiO6 crystal from the Alexandria database. Energies are from PBE with a Hubbard U.

Unit cell a=5.9272 b=5.9272 c=4.1125 alpha=90.00 beta=90.00 gamma=90.00
Last column: nearest neighbours and their distance in Å.
Space group P4mm (No. 99)
Asymmetric unit:
U: 0.0000 0.0000 0.0000 (multiplicity 1)  6 O 2.06-2.11
Co: 0.0000 0.5000 0.9990 (multiplicity 2)  4 O 2.10
Ni: 0.5000 0.5000 0.0012 (multiplicity 1)  6 O 2.05-2.08
O: 0.0000 0.0000 0.4999 (multiplicity 1)  2 U 2.06
O: 0.2514 0.2514 0.0000 (multiplicity 4)  1 Ni 2.08, 2 Co 2.10, 1 U 2.11
O: 0.5000 0.5000 0.5009 (multiplicity 1)  2 Ni 2.05-2.06

## Properties
**Calculated density**: 5.9 g/cm³
**Energy**: -67.919 eV for the cell shown
**Calculated volume**: 14.4 Å³ per atom

Entry 2:
Here is a relaxed UCoNiO6 crystal from the Alexandria database. Energies are from PBE with a Hubbard U.

Unit cell a=5.1228 b=5.1228 c=8.7042 alpha=90.00 beta=90.00 gamma=120.00
Last column: nearest neighbours and their distance in Å.
Space group P-31c (No. 163)
Asymmetric unit:
U: 0.3333 0.6667 0.2500 (multiplicity 2)  6 O 2.08
Co: 0.0000 0.0000 0.0000 (multiplicity 2)  6 O 1.95
Ni: 0.3333 0.6667 0.7500 (multiplicity 2)  6 O 2.06
O: 0.0028 0.3192 0.6224 (multiplicity 12)  1 Co 1.95, 1 Ni 2.06, 1 U 2.08

## Properties
**Calculated density**: 7.6 g/cm³
**Energy**: -127.764 eV for the cell shown
**Calculated volume**: 11.0 Å³ per atom